CaTlFe2Br8: optimized geometry, PBE-GGA.

Summary:
- SG = P-3
- total magnetization (μB per formula unit) = 9.0
- electronic total energy (eV per cell) = -45.493
- formation energy (no corrections) (eV per atom) = -0.901

a = 6.8980 Å, b = 6.8980 Å, c = 10.0058 Å
α = 90.00°, β = 90.00°, γ = 120.00°
Site moments in Bohr magnetons follow the coordinates.
Atoms (fractional coordinates):
Fe  0.6667  0.3333  0.2470  3.54
Fe  0.3333  0.6667  0.7530  3.54
Ca  0.0000  0.0000  0.5000  0.02
Br  0.3304  0.9991  0.6816  0.12
Br  0.0009  0.3313  0.6816  0.12
Br  0.9991  0.6687  0.3184  0.12
Br  0.6696  0.0009  0.3184  0.12
Br  0.6687  0.6696  0.6816  0.12
Br  0.3313  0.3304  0.3184  0.12
Br  0.3333  0.6667  0.9880  0.18
Br  0.6667  0.3333  0.0120  0.18
Tl  0.0000  0.0000  0.0000  0.00